A relaxed structure of YGe. Source: Alexandria via LeMat-Bulk, functional PBE.

a = 13.297 Å, b = 4.243 Å, c = 5.511 Å
α = 90.00°, β = 90.00°, γ = 90.00°
Space group Pmn2_1 (No. 31)
Inequivalent atoms, fractional coordinates:
Y 0.000 0.249 0.000 [2 per cell]
Y 0.205 0.752 0.676 [4 per cell]
Ge 0.000 0.687 0.485 [2 per cell]
Ge 0.141 0.752 0.168 [4 per cell]

## Properties
The value obtained for the energy relative to the elements is -585 meV per atom. As for the raw total energy: -73.5 eV for the cell shown. The theoretical density comes out at 5.18 g/cm³. Its magnetic moment is 0.000 μB per atom.